# TlV2F8, relaxed, DFT GGA+U
data_TlV2F8
_symmetry_space_group_name_H-M 'P 1'
_symmetry_Int_Tables_number 1
_symmetry_space_group_name_Hall 'P 1'
_cell_length_a 6.0502
_cell_length_b 6.0502
_cell_length_c 6.2817
_cell_angle_alpha 95.71
_cell_angle_beta 95.71
_cell_angle_gamma 61.83
loop_
_atom_site_label
_atom_site_type_symbol
_atom_site_fract_x
_atom_site_fract_y
_atom_site_fract_z
Tl1 Tl 0.0000 0.0000 0.0000
V1 V 0.2601 0.2601 0.5032
V2 V 0.7399 0.7399 0.4968
F1 F 0.0894 0.6291 0.6123
F2 F 0.1972 0.1972 0.7651
F3 F 0.3533 0.3533 0.2763
F4 F 0.3709 0.9106 0.3877
F5 F 0.6291 0.0894 0.6123
F6 F 0.6467 0.6467 0.7237
F7 F 0.8028 0.8028 0.2349
F8 F 0.9106 0.3709 0.3877
# spin magnetization: 3.0 Bohr magnetons per cell
# space group: No. 12
# electronic total energy: -60.26 eV per formula unit
# DOS(E_F): 6.7 states/eV per cell